Compound: Zr4AlC2
Source: Alexandria
Functional: PBE
Structure: relaxed

Summary:
- VASP energy (eV for the cell shown) = -121.356
- space-group type = Cmcm
- N(E_F) (states/eV per cell) = 9.0

a b c (Å): 5.982 5.982 12.014
angles (deg): 90.00 90.00 146.68
Fractional coordinates of all 14 atoms:
Zr 0.000 0.000 0.000
Zr 0.000 0.000 0.500
Zr 0.261 0.739 0.605
Zr 0.261 0.739 0.895
Zr 0.420 0.580 0.250
Zr 0.580 0.420 0.750
Zr 0.739 0.261 0.105
Zr 0.739 0.261 0.395
Al 0.110 0.890 0.250
Al 0.890 0.110 0.750
C 0.364 0.636 0.060
C 0.364 0.636 0.440
C 0.636 0.364 0.560
C 0.636 0.364 0.940

=====

Compound: Sc3SiTc
Source: Alexandria
Functional: PBE
Structure: relaxed

Summary:
- VASP energy (eV for the cell shown) = -32.241
- space-group type = Pm-3m
- relative energy among the computed polymorphs (meV per atom) = 252
- N(E_F) (states/eV per cell) = 8.7
- formation energy from raw total energies (eV/atom) = 0.508

a b c (Å): 4.928 4.928 4.928
angles (deg): 90.00 90.00 90.00
Fractional coordinates of all 5 atoms:
Sc 0.000 0.000 0.500
Sc 0.000 0.500 0.000
Sc 0.500 0.000 0.000
Si 0.000 0.000 0.000
Tc 0.500 0.500 0.500

=====

Compound: Ac6Sn3Ru2
Source: Alexandria
Functional: PBE
Structure: relaxed

Summary:
- VASP energy (eV for the cell shown) = -58.541
- space-group type = I4/mmm
- N(E_F) (states/eV per cell) = 6.1

a b c (Å): 13.632 13.632 13.632
angles (deg): 156.46 156.46 33.54
Fractional coordinates of all 11 atoms:
Ac 0.084 0.584 0.500
Ac 0.201 0.201 0.000
Ac 0.416 0.916 0.500
Ac 0.584 0.084 0.500
Ac 0.799 0.799 0.000
Ac 0.916 0.416 0.500
Sn 0.327 0.327 0.000
Sn 0.500 0.500 0.000
Sn 0.673 0.673 0.000
Ru 0.099 0.099 0.000
Ru 0.901 0.901 0.000

=====

Compound: Li5Sn5Pd
Source: Alexandria
Functional: PBE
Structure: relaxed

Summary:
- VASP energy (eV for the cell shown) = -37.464
- space-group type = Immm
- N(E_F) (states/eV per cell) = 4.0

a b c (Å): 9.112 9.112 9.112
angles (deg): 147.49 141.74 51.06
Fractional coordinates of all 11 atoms:
Li 0.000 0.000 0.000
Li 0.191 0.691 0.500
Li 0.304 0.304 0.000
Li 0.696 0.696 0.000
Li 0.809 0.309 0.500
Sn 0.102 0.852 0.251
Sn 0.399 0.148 0.251
Sn 0.500 0.500 0.000
Sn 0.601 0.852 0.749
Sn 0.898 0.148 0.749
Pd 0.500 0.000 0.500

=====

Compound: HfGe2S8
Source: Alexandria
Functional: PBE
Structure: relaxed

Summary:
- VASP energy (eV for the cell shown) = -55.776
- space-group type = C2/m
- N(E_F) (states/eV per cell) = 2.0
- formation energy from raw total energies (eV/atom) = -0.324

a b c (Å): 7.744 7.744 5.158
angles (deg): 101.10 101.10 88.64
Fractional coordinates of all 11 atoms:
Hf 0.000 0.000 0.000
Ge 0.232 0.232 0.689
Ge 0.768 0.768 0.311
S 0.098 0.770 0.310
S 0.225 0.225 0.221
S 0.230 0.902 0.690
S 0.460 0.460 0.803
S 0.540 0.540 0.197
S 0.770 0.098 0.310
S 0.775 0.775 0.779
S 0.902 0.230 0.690

=====

Compound: PrTm5Al4
Source: Alexandria
Functional: PBE
Structure: relaxed

Summary:
- VASP energy (eV for the cell shown) = -45.207
- space-group type = P4/mmm
- N(E_F) (states/eV per cell) = 8.4

a b c (Å): 3.550 3.550 19.528
angles (deg): 90.00 90.00 90.00
Fractional coordinates of all 10 atoms:
Pr 0.000 0.000 0.000
Tm 0.500 0.500 0.135
Tm 0.500 0.500 0.319
Tm 0.500 0.500 0.500
Tm 0.500 0.500 0.681
Tm 0.500 0.500 0.865
Al 0.000 0.000 0.227
Al 0.000 0.000 0.409
Al 0.000 0.000 0.591
Al 0.000 0.000 0.773

=====

Compound: PuAgAs2
Source: Alexandria
Functional: PBE
Structure: relaxed

Summary:
- VASP energy (eV for the cell shown) = -28.272
- space-group type = P4/mmm
- N(E_F) (states/eV per cell) = 9.7

a b c (Å): 4.559 4.559 3.877
angles (deg): 90.00 90.00 90.00
Fractional coordinates of all 4 atoms:
Pu 0.000 0.000 0.000
Ag 0.500 0.500 0.000
As 0.000 0.500 0.500
As 0.500 0.000 0.500

=====

Compound: Ca2SiCl
Source: Alexandria
Functional: PBE
Structure: relaxed

Summary:
- VASP energy (eV for the cell shown) = -28.888
- space-group type = I-42d
- relative energy among the computed polymorphs (meV per atom) = 275
- N(E_F) (states/eV per cell) = 0.1
- formation energy from raw total energies (eV/atom) = -0.793

a b c (Å): 6.745 6.745 6.745
angles (deg): 112.33 112.33 103.90
Fractional coordinates of all 8 atoms:
Ca 0.116 0.125 0.491
Ca 0.375 0.884 0.009
Ca 0.634 0.625 0.509
Ca 0.875 0.366 0.991
Si 0.250 0.750 0.500
Si 0.500 0.500 0.000
Cl 0.000 0.000 0.000
Cl 0.750 0.250 0.500

=====

- Which of these has the lowest N(E_F)?
  Ca2SiCl

=====

- What is the formula in the seventh record?
  PuAgAs2

=====

- The highest N(E_F) belongs to which entry?
  PuAgAs2